a:
# HoScTe (PBE-GGA, relaxed)
data_HoScTe
_chemical_formula_sum 'Ho2 Sc2 Te2'
_space_group_name_H-M_alt 'P 4/n m m'
_space_group_IT_number 129
_cell_length_a 4.228
_cell_length_b 4.228
_cell_length_c 8.371
_cell_angle_alpha 90.00
_cell_angle_beta 90.00
_cell_angle_gamma 90.00
loop_
_space_group_symop_operation_xyz
'x,y,z'
'-x,-y,-z'
'-y+1/2,x,z'
'y+1/2,-x,-z'
'-x+1/2,-y+1/2,z'
'x+1/2,y+1/2,-z'
'y,-x+1/2,z'
'-y,x+1/2,-z'
'x+1/2,-y,-z'
'-x+1/2,y,z'
'-y,-x,-z'
'y,x,z'
'-x,y+1/2,-z'
'x,-y+1/2,z'
'y+1/2,x+1/2,-z'
'-y+1/2,-x+1/2,z'
loop_
_atom_site_label
_atom_site_type_symbol
_atom_site_fract_x
_atom_site_fract_y
_atom_site_fract_z
_atom_site_occupancy
Ho1 Ho 0.250 0.250 0.137 1
Sc1 Sc 0.250 0.750 0.500 1
Te1 Te 0.250 0.250 0.761 1
# * size of the total moment: 0.167 μB per atom
# * mass density: 7.49 g/cm³

---

b:
# HoScTe (PBE-GGA, relaxed)
data_HoScTe
_chemical_formula_sum 'Ho2 Sc2 Te2'
_space_group_name_H-M_alt 'I 4 m m'
_space_group_IT_number 107
_space_group_name_Hall 'I 4 -2'
_cell_length_a 3.771
_cell_length_b 3.771
_cell_length_c 10.872
_cell_angle_alpha 90.00
_cell_angle_beta 90.00
_cell_angle_gamma 90.00
loop_
_atom_site_label
_atom_site_type_symbol
_atom_site_fract_x
_atom_site_fract_y
_atom_site_fract_z
_atom_site_occupancy
Ho1 Ho 0.000 0.000 0.000 1
Sc1 Sc 0.000 0.000 0.318 1
Te1 Te 0.000 0.000 0.681 1
# * size of the total moment: 0.000 μB per atom
# * mass density: 7.25 g/cm³

---

Most stable: a

---

a:
# HoSc3Te (PBE-GGA, relaxed)
data_HoSc3Te
_chemical_formula_sum 'Ho4 Sc12 Te4'
_space_group_name_H-M_alt 'C m c m'
_space_group_IT_number 63
_space_group_name_Hall '-C 2c 2'
_cell_length_a 4.096
_cell_length_b 18.748
_cell_length_c 6.680
_cell_angle_alpha 90.00
_cell_angle_beta 90.00
_cell_angle_gamma 90.00
loop_
_atom_site_label
_atom_site_type_symbol
_atom_site_fract_x
_atom_site_fract_y
_atom_site_fract_z
_atom_site_occupancy
Ho1 Ho 0.000 0.209 0.250 1
Sc1 Sc 0.000 0.003 0.750 1
Sc2 Sc 0.000 0.411 0.511 1
Te1 Te 0.000 0.167 0.750 1
# * size of the total moment: 0.003 μB per atom
# * mass density: 5.53 g/cm³

---

b:
# HoSc3Te (PBE-GGA, relaxed)
data_HoSc3Te
_chemical_formula_sum 'Ho4 Sc12 Te4'
_space_group_name_H-M_alt 'P n m a'
_space_group_IT_number 62
_space_group_name_Hall '-P 2ac 2n'
_cell_length_a 9.973
_cell_length_b 3.719
_cell_length_c 13.723
_cell_angle_alpha 90.00
_cell_angle_beta 90.00
_cell_angle_gamma 90.00
loop_
_atom_site_label
_atom_site_type_symbol
_atom_site_fract_x
_atom_site_fract_y
_atom_site_fract_z
_atom_site_occupancy
Ho1 Ho 0.158 0.250 0.022 1
Sc1 Sc 0.086 0.250 0.423 1
Sc2 Sc 0.109 0.750 0.234 1
Sc3 Sc 0.142 0.750 0.815 1
Te1 Te 0.132 0.250 0.638 1
# * size of the total moment: 0.000 μB per atom
# * mass density: 5.58 g/cm³

---

Most stable: b

---

a:
# HoSc2Te4 (PBE-GGA, relaxed)
data_HoSc2Te4
_chemical_formula_sum 'Ho4 Sc8 Te16'
_space_group_name_H-M_alt 'C m c m'
_space_group_IT_number 63
_space_group_name_Hall '-C 2c 2'
_cell_length_a 4.133
_cell_length_b 13.703
_cell_length_c 14.459
_cell_angle_alpha 90.00
_cell_angle_beta 90.00
_cell_angle_gamma 90.00
loop_
_atom_site_label
_atom_site_type_symbol
_atom_site_fract_x
_atom_site_fract_y
_atom_site_fract_z
_atom_site_occupancy
Ho1 Ho 0.000 0.127 0.250 1
Sc1 Sc 0.000 0.371 0.066 1
Te1 Te 0.000 0.000 0.000 1
Te2 Te 0.000 0.275 0.618 1
Te3 Te 0.000 0.461 0.250 1
# * size of the total moment: 0.000 μB per atom
# * mass density: 6.21 g/cm³

---

b:
# HoSc2Te4 (PBE-GGA, relaxed)
data_HoSc2Te4
_chemical_formula_sum 'Ho2 Sc4 Te8'
_space_group_name_H-M_alt 'C 1 2/m 1'
_space_group_IT_number 12
_space_group_name_Hall '-C 2y'
_cell_length_a 15.838
_cell_length_b 4.186
_cell_length_c 7.284
_cell_angle_alpha 90.00
_cell_angle_beta 116.99
_cell_angle_gamma 90.00
loop_
_atom_site_label
_atom_site_type_symbol
_atom_site_fract_x
_atom_site_fract_y
_atom_site_fract_z
_atom_site_occupancy
Ho1 Ho 0.000 0.000 0.000 1
Sc1 Sc 0.247 0.500 0.727 1
Te1 Te 0.125 0.000 0.463 1
Te2 Te 0.134 0.500 0.966 1
# * size of the total moment: 0.000 μB per atom
# * mass density: 5.91 g/cm³

---

Most stable: b